Entry 1:
Computed, not measured: a relaxed MnP3 crystal at the PBE-GGA level of DFT.

abc: 3.391 4.929 3.655
angles: 90.00 90.00 90.00
Element x y z (fractional)
1 Mn 0.000 0.000 0.000
2 P 0.000 0.500 0.013
3 P 0.500 0.000 0.505
4 P 0.500 0.500 0.416

Calculated values
* final energy: -6.38 eV/atom
* crystal system: orthorhombic
* DOS at the Fermi energy: 0.392 states/eV/atom
* magnetic moment: 0.88 μB/atom
* DFT formation energy: -0.03 eV/atom
* E above lowest polymorph: 131 meV per atom
* symmetry: No. 25

=====

Entry 2:
Computed, not measured: a relaxed Pr3Nd2Ag3 crystal at the PBE-GGA level of DFT.

abc: 11.682 11.682 11.682
angles: 161.26 152.86 33.19
Element x y z (fractional)
1 Pr 0.000 0.000 0.000
2 Pr 0.380 0.880 0.500
3 Pr 0.620 0.120 0.500
4 Nd 0.231 0.231 0.000
5 Nd 0.769 0.769 0.000
6 Ag 0.118 0.618 0.500
7 Ag 0.500 0.500 0.000
8 Ag 0.882 0.382 0.500

Calculated values
* final energy: -4.22 eV/atom
* crystal system: orthorhombic
* DOS at the Fermi energy: 1.141 states/eV/atom
* magnetic moment: 0.00 μB/atom
* DFT formation energy: -0.17 eV/atom
* symmetry: No. 71

=====

Entry 3:
Computed, not measured: a relaxed YHoZn4 crystal at the PBE-GGA level of DFT.

abc: 5.456 5.456 5.456
angles: 60.00 60.00 60.00
Element x y z (fractional)
1 Y 0.000 0.000 0.000
2 Ho 0.750 0.750 0.750
3 Zn 0.375 0.375 0.375
4 Zn 0.375 0.375 0.875
5 Zn 0.375 0.875 0.375
6 Zn 0.875 0.375 0.375

Calculated values
* final energy: -3.03 eV/atom
* crystal system: cubic
* DOS at the Fermi energy: 0.412 states/eV/atom
* magnetic moment: 0.00 μB/atom
* DFT formation energy: -0.34 eV/atom
* E above lowest polymorph: 47 meV per atom
* symmetry: No. 216

=====

Entry 4:
Computed, not measured: a relaxed Pr2Nd4Te3N2 crystal at the PBE-GGA level of DFT.

abc: 13.724 13.724 13.724
angles: 160.06 160.06 28.34
Element x y z (fractional)
1 Pr 0.195 0.195 0.000
2 Pr 0.805 0.805 0.000
3 Nd 0.082 0.582 0.500
4 Nd 0.418 0.918 0.500
5 Nd 0.582 0.082 0.500
6 Nd 0.918 0.418 0.500
7 Te 0.323 0.323 0.000
8 Te 0.500 0.500 0.000
9 Te 0.677 0.677 0.000
10 N 0.107 0.107 0.000
11 N 0.893 0.893 0.000

Calculated values
* final energy: -6.15 eV/atom
* crystal system: tetragonal
* DOS at the Fermi energy: 0.566 states/eV/atom
* magnetic moment: 0.00 μB/atom
* formation energy (no corrections): -1175 meV/atom
* symmetry: No. 139

=====

final energy of number 2 (Pr3Nd2Ag3)?
-4.22 eV/atom

=====

Look up the magnetic moment of the first one.
0.88 μB/atom

=====

DOS at the Fermi energy of number 4 (Pr2Nd4Te3N2)?
0.566 states/eV/atom